# PBEsol TePb2Se, optimized geometry
# ΔE_f (raw) = 0.210 eV/f.u.
# DOS(E_F) = 2.7 states/eV/f.u.
# distance to the lowest polymorph of the same formula = 192 kJ/mol of formula units
# total moment = 0.000 μB/atom
# E_tot = -3.791 eV/atom
data_TePb2Se
_cell_length_a 7.540
_cell_length_b 7.540
_cell_length_c 7.540
_cell_angle_alpha 90.00
_cell_angle_beta 90.00
_cell_angle_gamma 90.00
_space_group_name_H-M_alt 'F -4 3 m'
_space_group_IT_number 216
_space_group_name_Hall 'F -4 2 3'
loop_
_atom_site_label
_atom_site_type_symbol
_atom_site_fract_x
_atom_site_fract_y
_atom_site_fract_z
Te1 Te 0.000 0.000 0.000
Pb1 Pb 0.000 0.000 0.500
Pb2 Pb 0.250 0.250 0.250
Se1 Se 0.250 0.250 0.750

# PBEsol Cu4Rh3, optimized geometry
# DOS(E_F) = 7.2 states/eV/f.u.
# total moment = 0.000 μB/atom
# E_tot = -5.901 eV/atom
# DFT formation energy = 0.063 eV/atom
data_Cu4Rh3
_cell_length_a 2.660
_cell_length_b 2.660
_cell_length_c 24.461
_cell_angle_alpha 90.00
_cell_angle_beta 90.00
_cell_angle_gamma 90.00
_space_group_name_H-M_alt 'I 4/m m m'
_space_group_IT_number 139
_space_group_name_Hall '-I 4 2'
loop_
_atom_site_label
_atom_site_type_symbol
_atom_site_fract_x
_atom_site_fract_y
_atom_site_fract_z
Cu1 Cu 0.000 0.000 0.072
Cu2 Cu 0.000 0.000 0.361
Rh1 Rh 0.000 0.000 0.213
Rh2 Rh 0.000 0.000 0.500

# PBEsol Sm3Ta17O47, optimized geometry
# ΔE_f (raw) = -198.299 eV/f.u.
# DOS(E_F) = 0.0 states/eV/f.u.
# total moment = 0.000 μB/atom
# E_tot = -10.055 eV/atom
data_Sm3Ta17O47
_cell_length_a 12.686
_cell_length_b 3.878
_cell_length_c 19.225
_cell_angle_alpha 90.00
_cell_angle_beta 102.96
_cell_angle_gamma 90.00
_space_group_name_H-M_alt 'P 1 2/m 1'
_space_group_IT_number 10
_space_group_name_Hall '-P 2y'
loop_
_atom_site_label
_atom_site_type_symbol
_atom_site_fract_x
_atom_site_fract_y
_atom_site_fract_z
Sm1 Sm 0.000 0.000 0.000
Sm2 Sm 0.377 0.000 0.668
Ta1 Ta 0.026 0.500 0.855
Ta2 Ta 0.105 0.500 0.351
Ta3 Ta 0.193 0.500 0.718
Ta4 Ta 0.228 0.500 0.042
Ta5 Ta 0.235 0.500 0.216
Ta6 Ta 0.278 0.500 0.529
Ta7 Ta 0.412 0.500 0.374
Ta8 Ta 0.490 0.500 0.192
Ta9 Ta 0.500 0.500 0.000
O1 O 0.029 0.000 0.874
O2 O 0.050 0.500 0.666
O3 O 0.078 0.500 0.237
O4 O 0.087 0.500 0.964
O5 O 0.107 0.000 0.349
O6 O 0.122 0.500 0.116
O7 O 0.144 0.500 0.808
O8 O 0.153 0.500 0.454
O9 O 0.197 0.000 0.038
O10 O 0.222 0.000 0.722
O11 O 0.232 0.000 0.214
O12 O 0.235 0.500 0.622
O13 O 0.251 0.500 0.327
O14 O 0.292 0.000 0.543
O15 O 0.327 0.500 0.137
O16 O 0.340 0.500 0.996
O17 O 0.367 0.500 0.744
O18 O 0.375 0.500 0.463
O19 O 0.396 0.500 0.266
O20 O 0.429 0.500 0.609
O21 O 0.433 0.000 0.367
O22 O 0.473 0.500 0.895
O23 O 0.498 0.000 0.211
O24 O 0.500 0.000 0.000

# PBEsol SrY2W, optimized geometry
# DOS(E_F) = 5.0 states/eV/f.u.
# distance to the lowest polymorph of the same formula = 0 kJ/mol of formula units
# total moment = 0.001 μB/atom
# E_tot = -6.580 eV/atom
# DFT formation energy = 0.743 eV/atom
data_SrY2W
_cell_length_a 4.174
_cell_length_b 4.802
_cell_length_c 10.829
_cell_angle_alpha 90.00
_cell_angle_beta 90.00
_cell_angle_gamma 90.00
_space_group_name_H-M_alt 'C m m 2'
_space_group_IT_number 35
_space_group_name_Hall 'C 2 -2'
loop_
_atom_site_label
_atom_site_type_symbol
_atom_site_fract_x
_atom_site_fract_y
_atom_site_fract_z
Sr1 Sr 0.000 0.000 0.000
Y1 Y 0.000 0.000 0.418
Y2 Y 0.000 0.500 0.693
W1 W 0.000 0.500 0.225

# PBEsol AgAs2Pt, optimized geometry
# DOS(E_F) = 0.9 states/eV/f.u.
# distance to the lowest polymorph of the same formula = 25 kJ/mol of formula units
# total moment = 0.000 μB/atom
# E_tot = -5.083 eV/atom
# DFT formation energy = 0.039 eV/atom
data_AgAs2Pt
_cell_length_a 3.044
_cell_length_b 3.044
_cell_length_c 7.294
_cell_angle_alpha 90.00
_cell_angle_beta 90.00
_cell_angle_gamma 90.00
_space_group_name_H-M_alt 'P 4/m m m'
_space_group_IT_number 123
_space_group_name_Hall '-P 4 2'
loop_
_atom_site_label
_atom_site_type_symbol
_atom_site_fract_x
_atom_site_fract_y
_atom_site_fract_z
Ag1 Ag 0.000 0.000 0.000
As1 As 0.500 0.500 0.270
Pt1 Pt 0.000 0.000 0.500

# PBEsol PtSN2F, optimized geometry
# ΔE_f (raw) = 6.916 eV/f.u.
# DOS(E_F) = 2.2 states/eV/f.u.
# total moment = 0.000 μB/atom
# E_tot = -4.682 eV/atom
data_PtSN2F
_cell_length_a 3.780
_cell_length_b 3.780
_cell_length_c 3.612
_cell_angle_alpha 90.00
_cell_angle_beta 90.00
_cell_angle_gamma 90.00
_space_group_name_H-M_alt 'P 4/m m m'
_space_group_IT_number 123
_space_group_name_Hall '-P 4 2'
loop_
_atom_site_label
_atom_site_type_symbol
_atom_site_fract_x
_atom_site_fract_y
_atom_site_fract_z
Pt1 Pt 0.000 0.000 0.000
S1 S 0.500 0.500 0.500
N1 N 0.000 0.500 0.500
F1 F 0.500 0.500 0.000